This record from the Open Quantum Materials Database describes a relaxed structure of RbNiBi. The functional is PBE.

The value obtained for the raw total energy is -3.035 eV/atom.

The space group is F-43m (No. 216) and the conventional cell measures 7.1181, 7.1181 and 7.1181 Å, with angles of 90.00, 90.00 and 90.00 degrees. The asymmetric unit holds Rb at (0.0000, 0.0000, 0.0000), Ni at (0.2500, 0.2500, 0.7500) and Bi at (0.0000, 0.0000, 0.5000).

This record from the Open Quantum Materials Database describes a relaxed structure of ScInFeHg. The functional is PBE.

For the excess energy over the best structure of this formula in the dataset, the calculation gives 1.4 kJ/mol of atoms.

The space group is F-43m (No. 216) and the conventional cell measures 6.7456, 6.7456 and 6.7456 Å, with angles of 90.00, 90.00 and 90.00 degrees. The asymmetric unit holds Sc at (0.0000, 0.0000, 0.0000), In at (0.0000, 0.0000, 0.5000), Fe at (0.2500, 0.2500, 0.7500) and Hg at (0.2500, 0.2500, 0.2500).

This record from the Open Quantum Materials Database describes a relaxed structure of AcZn. The functional is PBE.

For the formation energy, the calculation gives -0.0553 eV/atom.

The space group is Pbcm (No. 57) and the conventional cell measures 7.4071, 5.8331 and 5.8065 Å, with angles of 90.00, 90.00 and 90.00 degrees. The asymmetric unit holds Ac at (0.1812, 0.0025, 0.2500) and Zn at (0.3882, 0.5043, 0.2500).

This record from the Open Quantum Materials Database describes a relaxed structure of TmCu2. The functional is PBE.

For the formation energy, the calculation gives -0.2861 eV/atom.

The space group is Imma (No. 74) and the conventional cell measures 4.2503, 6.6510 and 7.2647 Å, with angles of 90.00, 90.00 and 90.00 degrees. The asymmetric unit holds Tm at (0.0000, 0.2500, 0.0433) and Cu at (0.0000, 0.0483, 0.6645).

This record from the Open Quantum Materials Database describes a relaxed structure of PtBr2. The functional is PBE.

The value obtained for the raw total energy is -1.618 eV/atom.

The space group is Fd-3m (No. 227, origin choice 2) and the conventional cell measures 8.2281, 8.2281 and 8.2281 Å, with angles of 90.00, 90.00 and 90.00 degrees. The asymmetric unit holds Pt at (0.1250, 0.1250, 0.1250) and Br at (0.0000, 0.0000, 0.5000).

This record from the Open Quantum Materials Database describes a relaxed structure of HoTe2Br2. The functional is PBE.

The value obtained for the raw total energy is -4.020 eV/atom.

The space group is C2/m (No. 12) and the conventional cell measures 7.2757, 14.3364 and 7.2954 Å, with angles of 90.00, 103.68 and 90.00 degrees. The asymmetric unit holds Ho at (0.0000, 0.1703, 0.0000), Te at (0.0836, 0.0000, 0.3357), Te at (0.2423, 0.5000, 0.0673) and Br at (0.1624, 0.2666, 0.7475).

This record from the Open Quantum Materials Database describes a relaxed structure of Sc2Cu4Ni3. The functional is PBE.

For the formation energy, the calculation gives -0.3297 eV/atom.

The space group is Fmmm (No. 69) and the conventional cell measures 4.7115, 8.3351 and 12.2503 Å, with angles of 90.00, 90.00 and 90.00 degrees. The asymmetric unit holds Sc at (0.0000, 0.0000, 0.1270), Cu at (0.0000, 0.1623, 0.3282), Ni at (0.0000, 0.0000, 0.5000) and Ni at (0.2500, 0.2500, 0.0000).

This record from the Open Quantum Materials Database describes a relaxed structure of Dy2N. The functional is PBE.

The value obtained for the raw total energy is -5.918 eV/atom.

The space group is Fd-3m (No. 227, origin choice 2) and the conventional cell measures 10.2697, 10.2697 and 10.2697 Å, with angles of 90.00, 90.00 and 90.00 degrees. The asymmetric unit holds Dy at (0.0000, 0.0000, 0.0000) and N at (0.1250, 0.1250, 0.1250).

This record from the Open Quantum Materials Database describes a relaxed structure of TaBeAsO. The functional is PBE.

For the excess energy over the best structure of this formula in the dataset, the calculation gives 36.6 kJ/mol of atoms.

The space group is P4/nmm (No. 129, origin choice 2) and the conventional cell measures 3.6057, 3.6057 and 9.5692 Å, with angles of 90.00, 90.00 and 90.00 degrees. The asymmetric unit holds Ta at (0.2500, 0.7500, 0.0000), Be at (0.2500, 0.2500, 0.4890), As at (0.2500, 0.2500, 0.2122) and O at (0.2500, 0.7500, 0.5000).

This record from the Open Quantum Materials Database describes a relaxed structure of LuCuBW. The functional is PBE.

For the excess energy over the best structure of this formula in the dataset, the calculation gives 18.1 kJ/mol of atoms.

The space group is F-43m (No. 216) and the conventional cell measures 6.3155, 6.3155 and 6.3155 Å, with angles of 90.00, 90.00 and 90.00 degrees. The asymmetric unit holds Lu at (0.0000, 0.0000, 0.0000), Cu at (0.0000, 0.0000, 0.5000), B at (0.2500, 0.2500, 0.2500) and W at (0.2500, 0.2500, 0.7500).

This record from the Open Quantum Materials Database describes a relaxed structure of SrFeBi. The functional is PBE.

The value obtained for the raw total energy is -4.591 eV/atom.

The space group is F-43m (No. 216) and the conventional cell measures 6.9444, 6.9444 and 6.9444 Å, with angles of 90.00, 90.00 and 90.00 degrees. The asymmetric unit holds Sr at (0.0000, 0.0000, 0.0000), Fe at (0.2500, 0.2500, 0.7500) and Bi at (0.0000, 0.0000, 0.5000).

This record from the Open Quantum Materials Database describes a relaxed structure of Nd2TmMg3CdIn2. The functional is PBE.

The value obtained for the raw total energy is -3.152 eV/atom.

The space group is Amm2 (No. 38) and the conventional cell measures 4.6971, 13.0395 and 7.7015 Å, with angles of 90.00, 90.00 and 90.00 degrees. The asymmetric unit holds Nd at (0.0000, 0.2116, 0.0000), Tm at (0.0000, 0.0000, 0.3630), Mg at (0.5000, 0.0000, 0.0227), Mg at (0.5000, 0.1203, 0.6653), Cd at (0.0000, 0.0000, 0.7746) and In at (0.5000, 0.1625, 0.2884).

This record from the Open Quantum Materials Database describes a relaxed structure of KZnNiS3. The functional is PBE.

The value obtained for the raw total energy is -3.954 eV/atom.

The space group is Cmcm (No. 63) and the conventional cell measures 3.6107, 13.8570 and 10.0785 Å, with angles of 90.00, 90.00 and 90.00 degrees. The asymmetric unit holds K at (0.0000, 0.2464, 0.2500), Zn at (0.0000, 0.0358, 0.7500), Ni at (0.0000, 0.5000, 0.0000), S at (0.0000, 0.1030, 0.5395) and S at (0.0000, 0.4354, 0.7500).

This record from the Open Quantum Materials Database describes a relaxed structure of LiTaNiBi. The functional is PBE.

For the excess energy over the best structure of this formula in the dataset, the calculation gives 13.0 kJ/mol of atoms.

The space group is F-43m (No. 216) and the conventional cell measures 6.5231, 6.5231 and 6.5231 Å, with angles of 90.00, 90.00 and 90.00 degrees. The asymmetric unit holds Li at (0.0000, 0.0000, 0.0000), Ta at (0.2500, 0.2500, 0.2500), Ni at (0.2500, 0.2500, 0.7500) and Bi at (0.0000, 0.0000, 0.5000).

This record from the Open Quantum Materials Database describes a relaxed structure of Tb2HoNiIr2Pb3. The functional is PBE.

The value obtained for the raw total energy is -5.909 eV/atom.

The space group is Amm2 (No. 38) and the conventional cell measures 3.7799, 13.4390 and 7.7739 Å, with angles of 90.00, 90.00 and 90.00 degrees. The asymmetric unit holds Tb at (0.0000, 0.2031, 0.0000), Ho at (0.0000, 0.0000, 0.3906), Ni at (0.0000, 0.0000, 0.7964), Ir at (0.5000, 0.1659, 0.2972), Pb at (0.5000, 0.0000, 0.0559) and Pb at (0.5000, 0.1290, 0.6673).

This record from the Open Quantum Materials Database describes a relaxed structure of PrDy2Mg3Tl2In. The functional is PBE.

The value obtained for the raw total energy is -3.256 eV/atom.

The space group is Amm2 (No. 38) and the conventional cell measures 4.7105, 13.2607 and 7.5248 Å, with angles of 90.00, 90.00 and 90.00 degrees. The asymmetric unit holds Pr at (0.0000, 0.0000, 0.0000), Dy at (0.0000, 0.2159, 0.3506), Mg at (0.5000, 0.0000, 0.3227), Mg at (0.5000, 0.1196, 0.6856), Tl at (0.5000, 0.1715, 0.0667) and In at (0.0000, 0.0000, 0.5558).

This record from the Open Quantum Materials Database describes a relaxed structure of Er3Sb4Pd8. The functional is PBE.

The value obtained for the raw total energy is -5.605 eV/atom.

The space group is Fm-3m (No. 225) and the conventional cell measures 13.1683, 13.1683 and 13.1683 Å, with angles of 90.00, 90.00 and 90.00 degrees. The asymmetric unit holds Er at (0.0000, 0.0000, 0.2246), Sb at (0.0000, 0.0000, 0.0000), Sb at (0.0000, 0.0000, 0.5000), Sb at (0.0000, 0.2500, 0.2500), Pd at (0.1187, 0.1187, 0.3813) and Pd at (0.1662, 0.1662, 0.1662).

This record from the Open Quantum Materials Database describes a relaxed structure of HfTlFePd. The functional is PBE.

For the excess energy over the best structure of this formula in the dataset, the calculation gives 0.0 kJ/mol of atoms.

The space group is F-43m (No. 216) and the conventional cell measures 6.5168, 6.5168 and 6.5168 Å, with angles of 90.00, 90.00 and 90.00 degrees. The asymmetric unit holds Hf at (0.0000, 0.0000, 0.0000), Tl at (0.0000, 0.0000, 0.5000), Fe at (0.2500, 0.2500, 0.7500) and Pd at (0.2500, 0.2500, 0.2500).

This record from the Open Quantum Materials Database describes a relaxed structure of NaPrCdS3. The functional is PBE.

For the excess energy over the best structure of this formula in the dataset, the calculation gives 0.2 kJ/mol of atoms.

The space group is Pnma (No. 62) and the conventional cell measures 11.9895, 4.1658 and 11.7809 Å, with angles of 90.00, 90.00 and 90.00 degrees. The asymmetric unit holds Na at (0.1317, 0.2500, 0.0097), Pr at (0.0361, 0.2500, 0.6728), Cd at (0.2399, 0.2500, 0.2884), S at (0.0572, 0.7500, 0.8466), S at (0.0884, 0.2500, 0.4312) and S at (0.2217, 0.7500, 0.1619).

This record from the Open Quantum Materials Database describes a relaxed structure of CoBi2Pd. The functional is PBE.

The value obtained for the raw total energy is -4.572 eV/atom.

The space group is F-43m (No. 216) and the conventional cell measures 6.9742, 6.9742 and 6.9742 Å, with angles of 90.00, 90.00 and 90.00 degrees. The asymmetric unit holds Co at (0.0000, 0.0000, 0.0000), Bi at (0.0000, 0.0000, 0.5000), Bi at (0.2500, 0.2500, 0.2500) and Pd at (0.2500, 0.2500, 0.7500).

This record from the Open Quantum Materials Database describes a relaxed structure of NaHoGa. The functional is PBE.

For the excess energy over the best structure of this formula in the dataset, the calculation gives 0.0 kJ/mol of atoms.

The space group is F-43m (No. 216) and the conventional cell measures 6.9279, 6.9279 and 6.9279 Å, with angles of 90.00, 90.00 and 90.00 degrees. The asymmetric unit holds Na at (0.0000, 0.0000, 0.0000), Ho at (0.0000, 0.0000, 0.5000) and Ga at (0.2500, 0.2500, 0.7500).

This record from the Open Quantum Materials Database describes a relaxed structure of MgBeCoBi. The functional is PBE.

For the excess energy over the best structure of this formula in the dataset, the calculation gives 0.0 kJ/mol of atoms.

The space group is F-43m (No. 216) and the conventional cell measures 6.3972, 6.3972 and 6.3972 Å, with angles of 90.00, 90.00 and 90.00 degrees. The asymmetric unit holds Mg at (0.0000, 0.0000, 0.0000), Be at (0.2500, 0.2500, 0.2500), Co at (0.2500, 0.2500, 0.7500) and Bi at (0.0000, 0.0000, 0.5000).

This record from the Open Quantum Materials Database describes a relaxed structure of HfPtPb. The functional is PBE.

The value obtained for the raw total energy is -7.138 eV/atom.

The space group is P4/nmm (No. 129, origin choice 2) and the conventional cell measures 3.5255, 3.5255 and 10.8446 Å, with angles of 90.00, 90.00 and 90.00 degrees. The asymmetric unit holds Hf at (0.2500, 0.2500, 0.1814), Pt at (0.2500, 0.2500, 0.9227) and Pb at (0.2500, 0.2500, 0.6233).

This record from the Open Quantum Materials Database describes a relaxed structure of Be2Si2Pt3. The functional is PBE.

The value obtained for the raw total energy is -5.729 eV/atom.

The space group is R3m (No. 160, hexagonal axes) and the conventional cell measures 4.0558, 4.0558 and 20.1130 Å, with angles of 90.00, 90.00 and 120.00 degrees. The asymmetric unit holds Be at (0.0000, 0.0000, 0.0000), Be at (0.0000, 0.0000, 0.4711), Si at (0.0000, 0.0000, 0.2166), Si at (0.0000, 0.0000, 0.7321), Pt at (0.0000, 0.0000, 0.3541), Pt at (0.0000, 0.0000, 0.6030) and Pt at (0.0000, 0.0000, 0.8488).